The following is a PBE calculation of a geometry-optimized AcZrAs2Rh5 structure, from Alexandria via LeMat-Bulk.

Cell lengths 4.152, 4.152, 10.844 Å; angles 90.00, 90.00, 90.00 degrees
Positions (direct):
Ac: 0.000 0.000 0.000
Zr: 0.500 0.500 0.500
As: 0.500 0.500 0.220
As: 0.500 0.500 0.780
Rh: 0.000 0.500 0.336
Rh: 0.000 0.500 0.664
Rh: 0.500 0.000 0.336
Rh: 0.500 0.000 0.664
Rh: 0.500 0.500 0.000

Density of states at the Fermi level = 4.75 states/eV/f.u.
ΔH_f (0 K) = -425 meV per atom
Volume = 187.0 Å³/cell
Magnetization = 0.0 μB per cell